A geometry-optimized Ba2SnHgO5 structure, computed with GGA-PBE.

Results
M_tot ... 0.0 μB per formula unit
Mass density ... 7.2 g/cm3
Raw formation energy ... -1.748 eV per atom

Lattice parameters (Å, degrees): 3.492 8.180 11.180 90.00 90.00 102.32
Sites, in units of the cell vectors:
Ba 0.868 0.736 0.801
Ba 0.112 0.224 0.687
Ba 0.132 0.264 0.301
Ba 0.888 0.776 0.187
Sn 0.780 0.560 0.516
Sn 0.220 0.440 0.016
Hg 0.543 0.087 0.952
Hg 0.457 0.913 0.452
O 0.348 0.695 0.001
O 0.702 0.404 0.893
O 0.497 0.994 0.774
O 0.275 0.551 0.641
O 0.909 0.817 0.559
O 0.652 0.305 0.501
O 0.298 0.596 0.393
O 0.503 0.006 0.274
O 0.725 0.449 0.141
O 0.091 0.183 0.059

A geometry-optimized Ba4Sn3HgO12 structure, computed with GGA-PBE.

Results
M_tot ... 0.0 μB per formula unit
Fermi-level density of states ... 15.736 states/eV/f.u.
Mass density ... 7.1 g/cm3
Raw formation energy ... -1.833 eV per atom

Lattice parameters (Å, degrees): 7.350 7.350 7.350 109.47 109.47 109.47
Sites, in units of the cell vectors:
Ba 0.500 0.500 0.500
Ba 0.000 0.000 0.500
Ba 0.500 0.000 0.000
Ba 0.000 0.500 0.000
Sn 0.500 0.000 0.500
Sn 0.500 0.500 0.000
Sn 0.000 0.500 0.500
Hg 0.000 0.000 0.000
O 0.250 0.500 0.750
O 0.739 0.000 0.739
O 0.261 0.000 0.261
O 0.750 0.500 0.250
O 0.739 0.739 0.000
O 0.261 0.261 0.000
O 0.750 0.250 0.500
O 0.250 0.750 0.500
O 0.500 0.250 0.750
O 0.000 0.739 0.739
O 0.500 0.750 0.250
O 0.000 0.261 0.261

A geometry-optimized Ba3SrHg4O8 structure, computed with GGA-PBE.

Results
M_tot ... 0.0 μB per formula unit
Fermi-level density of states ... 0.000 states/eV/f.u.
Mass density ... 6.9 g/cm3
Raw formation energy ... -1.561 eV per atom

Lattice parameters (Å, degrees): 6.867 6.867 25.415 90.00 90.00 120.00
Sites, in units of the cell vectors:
Ba 0.667 0.333 0.765
Ba 0.667 0.333 0.267
Ba 0.333 0.667 0.235
Ba 0.333 0.667 0.733
Ba 0.333 0.667 0.016
Ba 0.333 0.667 0.516
Ba 0.667 0.333 0.984
Ba 0.667 0.333 0.484
Ba 0.000 0.000 0.000
Sr 0.000 0.000 0.500
Sr 0.000 0.000 0.749
Sr 0.000 0.000 0.251
Hg 0.836 0.656 0.127
Hg 0.830 0.660 0.625
Hg 0.820 0.164 0.127
Hg 0.830 0.170 0.625
Hg 0.344 0.180 0.127
Hg 0.340 0.170 0.625
Hg 0.180 0.344 0.873
Hg 0.170 0.340 0.375
Hg 0.656 0.836 0.873
Hg 0.660 0.830 0.375
Hg 0.164 0.820 0.873
Hg 0.170 0.830 0.375
O 0.336 0.045 0.198
O 0.336 0.043 0.697
O 0.709 0.664 0.198
O 0.707 0.664 0.697
O 0.955 0.291 0.198
O 0.957 0.293 0.697
O 0.291 0.955 0.802
O 0.293 0.957 0.303
O 0.045 0.336 0.802
O 0.043 0.336 0.303
O 0.664 0.709 0.802
O 0.664 0.707 0.303
O 0.650 0.965 0.944
O 0.664 0.957 0.447
O 0.314 0.350 0.944
O 0.293 0.336 0.447
O 0.035 0.686 0.944
O 0.043 0.707 0.447
O 0.686 0.035 0.056
O 0.707 0.043 0.553
O 0.965 0.650 0.056
O 0.957 0.664 0.553
O 0.350 0.314 0.056
O 0.336 0.293 0.553